(1)
! HgBiB3 PBE-GGA optimized geometry; values from VASP
&SYSTEM
  ibrav = 0, nat = 5, ntyp = 3
/
ATOMIC_SPECIES
Bi 208.98 Bi.upf
Hg 200.59 Hg.upf
B 10.81 B.upf
CELL_PARAMETERS angstrom
4.813 0.000 0.000
0.000 4.813 0.000
0.000 0.000 4.813
ATOMIC_POSITIONS crystal
Bi 0.000 0.000 0.000
Hg 0.500 0.500 0.500
B 0.500 0.000 0.000
B 0.000 0.500 0.000
B 0.000 0.000 0.500
! - formation energy (eV per atom) = 2.384
! - crystal system = cubic


(2)
! Er6Si2Te3P PBE-GGA optimized geometry; values from VASP
&SYSTEM
  ibrav = 0, nat = 12, ntyp = 4
/
ATOMIC_SPECIES
Te 127.60 Te.upf
Er 167.26 Er.upf
Si 28.09 Si.upf
P 30.97 P.upf
CELL_PARAMETERS angstrom
-4.020 0.624 0.840
0.270 -6.144 5.856
4.160 7.406 4.129
ATOMIC_POSITIONS crystal
Te 0.500 0.500 0.000
Te 0.166 0.834 0.332
Te 0.834 0.166 0.668
Er 0.992 0.771 0.983
Er 0.659 0.101 0.317
Er 0.674 0.564 0.347
Er 0.326 0.436 0.653
Er 0.341 0.899 0.683
Er 0.008 0.229 0.017
Si 0.834 0.669 0.668
Si 0.166 0.331 0.332
P 0.500 0.000 0.000
! - crystal system = monoclinic
! - raw formation energy (eV/atom) = -1.233


Number 1: DFT total energy -2.46 eV per atom. Number 2: DFT total energy -5.65 eV per atom.